## SmMg2Hg4 (PBE)

Data for SmMg2Hg4 after structural relaxation. Values from VASP.

```
&SYSTEM
  ibrav = 0, nat = 7, ntyp = 3
/
ATOMIC_SPECIES
Sm 150.36 Sm.upf
Mg 24.30 Mg.upf
Hg 200.59 Hg.upf
CELL_PARAMETERS angstrom
2.4598 1.4202 8.3204
-2.4598 1.4202 8.3204
0.0000 -2.8403 8.3204
ATOMIC_POSITIONS angstrom
Sm 0.0000 0.0000 0.0000
Mg 0.0000 0.0000 6.1660
Mg 0.0000 0.0000 18.7951
Hg 0.0000 0.0000 3.2538
Hg 0.0000 0.0000 9.7115
Hg 0.0000 0.0000 15.2496
Hg 0.0000 0.0000 21.7074
```

Results
Electronic total energy ... -1.5804 eV per atom
Total moment ... 0.00 μB/f.u.
Crystal system ... trigonal
Mass density ... 9534 kg/m3

***

## Sm5MgHg (PBE)

Data for Sm5MgHg after structural relaxation. Values from VASP.

```
&SYSTEM
  ibrav = 0, nat = 14, ntyp = 3
/
ATOMIC_SPECIES
Sm 150.36 Sm.upf
Mg 24.30 Mg.upf
Hg 200.59 Hg.upf
CELL_PARAMETERS angstrom
4.8650 -6.0721 0.0000
4.8650 6.0721 0.0000
-4.1216 0.0000 7.4336
ATOMIC_POSITIONS angstrom
Sm 1.7739 5.1021 5.5752
Sm 0.2886 2.1118 6.6875
Sm 2.2230 0.6462 1.1455
Sm 0.1622 -0.6462 4.8623
Sm 3.2591 2.1118 4.4629
Sm 2.3494 -2.1118 2.9707
Sm 5.4463 0.6462 2.5713
Sm 3.3855 -0.6462 6.2881
Sm 5.3199 -2.1118 0.7461
Sm 3.8346 -5.1021 1.8584
Mg 3.8346 3.8768 1.8584
Mg 1.7739 -3.8768 5.5752
Hg 0.3717 3.0361 3.7168
Hg 2.4325 -3.0361 0.0000
```

Results
Electronic total energy ... -3.6082 eV per atom
Total moment ... 0.00 μB/f.u.
Crystal system ... monoclinic
Mass density ... 7385 kg/m3

***

## Sm2Mg3Hg4 (PBE)

Data for Sm2Mg3Hg4 after structural relaxation. Values from VASP.

```
&SYSTEM
  ibrav = 0, nat = 9, ntyp = 3
/
ATOMIC_SPECIES
Sm 150.36 Sm.upf
Mg 24.30 Mg.upf
Hg 200.59 Hg.upf
CELL_PARAMETERS angstrom
5.0491 0.0000 0.0000
2.5230 4.3801 0.0000
0.0093 0.0347 9.8704
ATOMIC_POSITIONS angstrom
Sm 1.2626 0.7316 2.1012
Sm 6.3188 3.6832 7.7693
Mg 1.2693 0.7564 5.6500
Mg 3.7861 2.1901 0.0000
Mg 6.3121 3.6584 4.2205
Hg 1.2712 0.7649 8.8561
Hg 3.7956 2.2246 6.4508
Hg 3.7858 2.1902 3.4197
Hg 6.3103 3.6499 1.0144
```

Results
Total moment ... 0.00 μB/f.u.
Polymorph energy (0 for the lowest one) ... 0.000 eV/atom
Crystal system ... triclinic
Mass density ... 8946 kg/m3